A plane-wave DFT calculation with PBE was carried out for an optimized crystal structure of NdThZn.

```
NdThZn
1.0
0.000 3.534 3.534
3.534 0.000 3.534
3.534 3.534 0.000
Nd Th Zn
1 1 1
direct
0.000 0.000 0.000
0.250 0.250 0.250
0.750 0.750 0.750
```

Summary:
Its space-group type is F-43m. The value obtained for the calculated density is 8.31 g/cm³. As for the energy of formation from the pure elements: 0.70 eV/atom.